No. 1
Crystalline BaMgHg2 at its relaxed geometry. Source: Alexandria via LeMat-Bulk, functional PBE.

Properties
**VASP energy**: -0.0475 Ha/atom
**Mass density**: 7.6 g cm⁻³
**DFT formation energy**: -261 meV per atom
**Size of the total moment**: 0.000 μB/atom

Unit cell a=5.4862 b=5.4862 c=4.1114 alpha=90.00 beta=90.00 gamma=90.00
Closest atoms and distances in Å follow each position.
Space group P4/mmm (No. 123)
Inequivalent atoms, fractional coordinates:
1 Ba 0.0000 0.0000 0.0000 [1 per cell]  8 Hg 3.43
2 Mg 0.5000 0.5000 0.0000 [1 per cell]  8 Hg 3.43
3 Hg 0.0000 0.5000 0.5000 [2 per cell]  4 Mg 3.43, 4 Ba 3.43


No. 2
Crystalline Ba4MgHg3 at its relaxed geometry. Source: Alexandria via LeMat-Bulk, functional PBE.

Properties
**VASP energy**: -0.0617 Ha/atom
**Mass density**: 6.4 g cm⁻³
**DFT formation energy**: -405 meV per atom
**Size of the total moment**: 0.000 μB/atom

Unit cell a=4.2215 b=4.2215 c=17.1738 alpha=90.00 beta=90.00 gamma=90.00
Closest atoms and distances in Å follow each position.
Space group P4/mmm (No. 123)
Inequivalent atoms, fractional coordinates:
1 Ba 0.0000 0.0000 0.1228 [2 per cell]  8 Hg 3.65-3.68
2 Ba 0.0000 0.0000 0.3656 [2 per cell]  4 Hg 3.60, 4 Mg 3.77
3 Mg 0.5000 0.5000 0.5000 [1 per cell]  8 Ba 3.77, 4 Mg 4.22
4 Hg 0.5000 0.5000 0.0000 [1 per cell]  8 Ba 3.65
5 Hg 0.5000 0.5000 0.2483 [2 per cell]  8 Ba 3.60-3.68


No. 3
Crystalline Ba2Mg3Hg at its relaxed geometry. Source: Alexandria via LeMat-Bulk, functional PBE.

Properties
**VASP energy**: -0.0617 Ha/atom
**Mass density**: 4.7 g cm⁻³
**DFT formation energy**: -189 meV per atom
**Size of the total moment**: 0.000 μB/atom

Unit cell a=11.2833 b=6.4885 c=6.5167 alpha=90.00 beta=124.90 gamma=90.00
Closest atoms and distances in Å follow each position.
Space group C2/m (No. 12)
Inequivalent atoms, fractional coordinates:
1 Ba 0.1266 0.0000 0.3799 [4 per cell]  3 Hg 3.80-3.82, 9 Mg 3.80-3.84, 4 Ba 3.97-4.06
2 Mg 0.0000 0.5000 0.0000 [2 per cell]  4 Mg 3.25, 2 Hg 3.26
3 Mg 0.2500 0.2500 0.0000 [4 per cell]  4 Mg 3.24-3.25, 2 Hg 3.27
4 Hg 0.0000 0.5000 0.5000 [2 per cell]  6 Mg 3.26-3.27


Q: What is the DFT formation energy in the second record?
A: -405 meV per atom


Q: Which value of DFT formation energy does entry 3 give?
A: -189 meV per atom


Copy entry 3 word for word.
Crystalline Ba2Mg3Hg at its relaxed geometry. Source: Alexandria via LeMat-Bulk, functional PBE.

Properties
**VASP energy**: -0.0617 Ha/atom
**Mass density**: 4.7 g cm⁻³
**DFT formation energy**: -189 meV per atom
**Size of the total moment**: 0.000 μB/atom

Unit cell a=11.2833 b=6.4885 c=6.5167 alpha=90.00 beta=124.90 gamma=90.00
Closest atoms and distances in Å follow each position.
Space group C2/m (No. 12)
Inequivalent atoms, fractional coordinates:
1 Ba 0.1266 0.0000 0.3799 [4 per cell]  3 Hg 3.80-3.82, 9 Mg 3.80-3.84, 4 Ba 3.97-4.06
2 Mg 0.0000 0.5000 0.0000 [2 per cell]  4 Mg 3.25, 2 Hg 3.26
3 Mg 0.2500 0.2500 0.0000 [4 per cell]  4 Mg 3.24-3.25, 2 Hg 3.27
4 Hg 0.0000 0.5000 0.5000 [2 per cell]  6 Mg 3.26-3.27